An optimized crystal structure of Nd5Er, computed with GGA-PBE.

It has space group Cmmm (No. 65), with a = 5.1650 Å, b = 15.5144 Å, c = 5.1599 Å, α = 90.00°, β = 90.00° and γ = 90.00°. The inequivalent atoms are Nd at (0.0000, 0.0000, 0.0000), Nd at (0.0000, 0.1652, 0.5000), Nd at (0.0000, 0.3341, 0.0000) and Er at (0.0000, 0.5000, 0.5000).

The formation energy comes out at 0.09 eV/f.u.